1.
ZrBeMo2S (meta-GGA SCAN, PBEsol geometry); ρ = 5.00 Mg/m³; N(E_F) = 4.44 states/eV/cell; total DFT energy (no corrections) = -104.9 eV/f.u.; space-group type = P4/mmm (123)
1.0
4.776 0.000 0.000
0.000 4.776 0.000
0.000 0.000 4.724
Zr Be Mo S
1 1 2 1
direct
0.000 0.000 0.000 Zr
0.500 0.500 0.500 Be
0.000 0.500 0.000 Mo
0.500 0.000 0.000 Mo
0.000 0.000 0.500 S

2.
PPdBrO2 (meta-GGA SCAN, PBEsol geometry); ρ = 5.53 Mg/m³; N(E_F) = 2.98 states/eV/cell; total DFT energy (no corrections) = -73.7 eV/f.u.; space-group type = P4/mmm (123)
1.0
3.812 0.000 0.000
0.000 3.812 0.000
0.000 0.000 5.152
P Pd Br O
1 1 1 2
direct
0.000 0.000 0.000 P
0.000 0.000 0.500 Pd
0.500 0.500 0.000 Br
0.000 0.500 0.500 O
0.500 0.000 0.500 O

3.
TlNiW (meta-GGA SCAN, PBEsol geometry); ρ = 15.22 Mg/m³; N(E_F) = 3.19 states/eV/cell; total DFT energy (no corrections) = -156.0 eV/f.u.; space-group type = P3m1 (156); formation energy = 0.723 eV per atom
1.0
2.903 0.000 0.000
-1.451 2.514 0.000
0.000 0.000 6.682
Tl Ni W
1 1 1
direct
0.000 0.000 0.000 Tl
0.667 0.333 0.333 Ni
0.333 0.667 0.618 W